(a)
Computed, not measured: a geometry-optimized LiBe2As structure at the PBE level of DFT.

M_tot   0.0 Bohr magnetons per cell
Space group   No. 122

POSCAR file:
```
LiBe2As
1.0
7.069 0.000 0.000
0.000 7.069 0.000
3.534 3.534 2.400
Be Li As
4 2 2
direct
0.695 0.125 0.250
0.375 0.305 0.750
0.875 0.945 0.750
0.055 0.625 0.250
0.250 0.750 0.500
0.500 0.500 0.000
0.750 0.250 0.500
0.000 0.000 0.000
```

(b)
Computed, not measured: a geometry-optimized LiBe2As structure at the PBE level of DFT.

M_tot   0.0 Bohr magnetons per cell
Space group   No. 65

POSCAR file:
```
LiBe2As
1.0
-0.837 2.359 0.946
-2.292 -1.050 -0.898
-1.229 -3.189 6.864
Li Be As
1 2 1
direct
0.500 0.500 0.250
0.000 0.000 0.498
0.000 0.000 0.002
0.500 0.500 0.750
```

(c)
Computed, not measured: a geometry-optimized LiBe2As structure at the PBE level of DFT.

M_tot   0.0 Bohr magnetons per cell
Space group   No. 123

POSCAR file:
```
LiBe2As
1.0
-1.559 2.589 -1.255
-2.054 -2.000 -1.576
-2.906 0.054 3.719
Be Li As
2 1 1
direct
0.000 0.000 0.986
0.000 0.000 0.514
0.500 0.500 0.250
0.500 0.500 0.750
```

Verdict on stability: (c) comes out on top.

(a)
Computed, not measured: a geometry-optimized LiBe2As structure at the PBE level of DFT.

M_tot   0.0 Bohr magnetons per cell
Space group   No. 8

POSCAR file:
```
LiBe2As
1.0
4.109 0.025 0.013
3.219 2.554 0.013
1.091 0.384 5.287
Be Li As
2 1 1
direct
0.991 0.991 0.942
0.729 0.729 0.834
0.506 0.506 0.525
0.274 0.274 0.199
```

(b)
Computed, not measured: a geometry-optimized LiBe2As structure at the PBE level of DFT.

M_tot   0.0 Bohr magnetons per cell
Space group   No. 25

POSCAR file:
```
LiBe2As
1.0
3.530 0.000 0.000
0.000 2.770 -0.239
0.000 0.494 5.636
Li Be As
1 2 1
direct
0.000 0.377 0.493
0.500 0.374 0.133
0.000 0.874 0.076
0.500 0.875 0.799
```

(c)
Computed, not measured: a geometry-optimized LiBe2As structure at the PBE level of DFT.

M_tot   0.0 Bohr magnetons per cell
Space group   No. 216

POSCAR file:
```
LiBe2As
1.0
-1.533 3.048 2.317
-4.068 0.271 0.622
-1.577 -0.831 3.719
Be As Li
2 1 1
direct
0.000 0.000 0.000
0.250 0.250 0.250
0.500 0.500 0.500
0.750 0.750 0.750
```

(d)
Computed, not measured: a geometry-optimized LiBe2As structure at the PBE level of DFT.

M_tot   0.0 Bohr magnetons per cell
Space group   No. 99

POSCAR file:
```
LiBe2As
1.0
3.026 0.000 0.000
0.000 3.026 0.000
0.000 0.000 5.603
Be Li As
2 1 1
direct
0.500 0.500 0.191
0.000 0.000 0.040
0.000 0.000 0.484
0.500 0.500 0.785
```

Verdict on stability: (b) comes out on top.

(a)
Computed, not measured: a geometry-optimized LiBe2As structure at the PBE level of DFT.

M_tot   0.0 Bohr magnetons per cell
Space group   No. 225

POSCAR file:
```
LiBe2As
1.0
0.000 2.951 2.951
2.951 0.000 2.951
2.951 2.951 0.000
As Be Li
1 2 1
direct
0.500 0.500 0.500
0.750 0.750 0.750
0.250 0.250 0.250
0.000 0.000 0.000
```

(b)
Computed, not measured: a geometry-optimized LiBe2As structure at the PBE level of DFT.

M_tot   0.0 Bohr magnetons per cell
Space group   No. 123

POSCAR file:
```
LiBe2As
1.0
-1.135 -2.997 1.639
1.675 -1.994 -2.485
2.973 -0.021 2.020
As Li Be
1 1 2
direct
0.000 0.500 0.500
0.500 0.000 0.500
0.500 0.500 0.000
0.000 0.000 0.000
```

Verdict on stability: (b) comes out on top.

(a)
Computed, not measured: a geometry-optimized LiBe2As structure at the PBE level of DFT.

M_tot   0.0 Bohr magnetons per cell
Space group   No. 12

POSCAR file:
```
LiBe2As
1.0
-3.370 2.543 -2.069
-3.581 0.127 -3.044
-2.844 -0.943 2.953
Be Li As
2 1 1
direct
0.496 0.496 0.499
0.004 0.004 0.001
0.750 0.750 0.750
0.250 0.250 0.250
```

(b)
Computed, not measured: a geometry-optimized LiBe2As structure at the PBE level of DFT.

M_tot   0.0 Bohr magnetons per cell
Space group   No. 10

POSCAR file:
```
LiBe2As
1.0
4.015 0.000 0.000
0.000 2.811 -0.025
0.000 -0.778 4.457
As Be Li
1 2 1
direct
0.500 0.750 0.750
0.000 0.869 0.035
0.000 0.631 0.465
0.500 0.250 0.250
```

Verdict on stability: (b) comes out on top.

(a)
Computed, not measured: a geometry-optimized LiBe2As structure at the PBE level of DFT.

M_tot   0.0 Bohr magnetons per cell
Space group   No. 123

POSCAR file:
```
LiBe2As
1.0
-1.722 -0.724 -1.961
-1.656 -1.078 1.852
-3.515 6.547 0.669
Be As Li
2 1 1
direct
0.000 0.000 0.497
0.000 0.000 0.003
0.500 0.500 0.750
0.500 0.500 0.250
```

(b)
Computed, not measured: a geometry-optimized LiBe2As structure at the PBE level of DFT.

M_tot   0.0 Bohr magnetons per cell
Space group   No. 139

POSCAR file:
```
LiBe2As
1.0
4.493 0.007 0.001
1.606 4.196 -0.001
-3.050 -2.101 2.544
Be As Li
2 1 1
direct
0.500 0.500 0.000
0.000 0.000 0.000
0.250 0.750 0.500
0.750 0.250 0.500
```

(c)
Computed, not measured: a geometry-optimized LiBe2As structure at the PBE level of DFT.

M_tot   0.0 Bohr magnetons per cell
Space group   No. 44

POSCAR file:
```
LiBe2As
1.0
4.494 0.021 -0.002
1.677 4.169 0.002
-3.087 -2.093 2.507
Be As Li
2 1 1
direct
0.998 0.998 0.000
0.751 0.251 0.500
0.251 0.751 0.500
0.501 0.501 0.000
```

Verdict on stability: (c) comes out on top.

(a)
Computed, not measured: a geometry-optimized Li2BeAs structure at the PBE level of DFT.

M_tot   0.0 Bohr magnetons per cell
Space group   No. 139

POSCAR file:
```
Li2BeAs
1.0
4.711 0.006 0.000
1.926 4.299 0.000
-3.318 -2.153 2.559
Li Be As
2 1 1
direct
0.500 0.500 0.000
0.000 0.000 0.000
0.750 0.250 0.500
0.250 0.750 0.500
```

(b)
Computed, not measured: a geometry-optimized Li2BeAs structure at the PBE level of DFT.

M_tot   0.3 Bohr magnetons per cell
Space group   No. 166

POSCAR file:
```
Li2BeAs
1.0
-3.035 -0.537 8.190
-5.458 -1.062 6.758
-3.623 -3.193 7.298
Li As Be
2 1 1
direct
0.997 0.997 0.997
0.503 0.503 0.503
0.250 0.250 0.250
0.750 0.750 0.750
```

Verdict on stability: (a) comes out on top.

(a)
Computed, not measured: a geometry-optimized Li2BeAs structure at the PBE level of DFT.

M_tot   0.0 Bohr magnetons per cell
Space group   No. 44

POSCAR file:
```
Li2BeAs
1.0
-1.089 3.164 3.329
-4.614 0.946 -0.314
2.534 -3.953 0.480
As Li Be
1 2 1
direct
0.456 0.456 0.000
0.012 0.012 0.000
0.738 0.238 0.500
0.294 0.794 0.500
```

(b)
Computed, not measured: a geometry-optimized Li2BeAs structure at the PBE level of DFT.

M_tot   0.0 Bohr magnetons per cell
Space group   No. 25

POSCAR file:
```
Li2BeAs
1.0
-1.403 0.338 -2.478
-2.742 -1.846 1.300
-2.224 4.637 1.892
Li As Be
2 1 1
direct
0.000 0.000 0.985
0.500 0.500 0.257
0.000 0.000 0.519
0.500 0.500 0.739
```

(c)
Computed, not measured: a geometry-optimized Li2BeAs structure at the PBE level of DFT.

M_tot   0.0 Bohr magnetons per cell
Space group   No. 216

POSCAR file:
```
Li2BeAs
1.0
-1.826 -3.245 -2.103
-1.129 -3.547 2.106
-4.136 -0.893 0.621
Li Be As
2 1 1
direct
0.750 0.750 0.750
0.000 0.000 0.000
0.250 0.250 0.250
0.500 0.500 0.500
```

(d)
Computed, not measured: a geometry-optimized Li2BeAs structure at the PBE level of DFT.

M_tot   0.0 Bohr magnetons per cell
Space group   No. 8

POSCAR file:
```
Li2BeAs
1.0
4.839 0.232 0.175
3.889 2.889 0.175
0.845 0.302 4.601
As Li Be
1 2 1
direct
0.536 0.536 0.499
0.971 0.971 0.046
0.775 0.775 0.719
0.218 0.218 0.235
```

Verdict on stability: (a) comes out on top.

(a)
Computed, not measured: a geometry-optimized Li2BeAs structure at the PBE level of DFT.

M_tot   0.0 Bohr magnetons per cell
Space group   No. 6

POSCAR file:
```
Li2BeAs
1.0
-0.849 3.142 2.029
-2.685 0.051 -1.203
-3.137 -2.883 3.150
Li Be As
2 1 1
direct
0.500 0.299 0.283
0.000 0.955 0.958
0.500 0.560 0.751
0.000 0.685 0.508
```

(b)
Computed, not measured: a geometry-optimized Li2BeAs structure at the PBE level of DFT.

M_tot   0.0 Bohr magnetons per cell
Space group   No. 122

POSCAR file:
```
Li2BeAs
1.0
3.608 0.000 0.000
0.000 3.608 0.000
1.804 1.804 8.903
Li As Be
4 2 2
direct
0.375 0.366 0.750
0.634 0.125 0.250
0.116 0.625 0.250
0.875 0.884 0.750
0.750 0.250 0.500
0.000 0.000 0.000
0.250 0.750 0.500
0.500 0.500 0.000
```

Verdict on stability: (a) comes out on top.

(a)
Computed, not measured: a geometry-optimized Li2BeAs structure at the PBE level of DFT.

M_tot   0.0 Bohr magnetons per cell
Space group   No. 123

POSCAR file:
```
Li2BeAs
1.0
-1.362 -0.081 3.339
1.951 -2.946 0.725
2.982 2.288 1.271
As Li Be
1 2 1
direct
0.500 0.000 0.500
0.500 0.500 0.000
0.000 0.000 0.000
0.000 0.500 0.500
```

(b)
Computed, not measured: a geometry-optimized Li2BeAs structure at the PBE level of DFT.

M_tot   0.0 Bohr magnetons per cell
Space group   No. 123

POSCAR file:
```
Li2BeAs
1.0
2.729 0.004 0.000
-0.004 2.729 0.000
0.000 0.000 7.736
As Li Be
1 2 1
direct
0.500 0.500 0.250
0.000 0.000 0.505
0.000 0.000 0.995
0.500 0.500 0.750
```

Verdict on stability: (a) comes out on top.

(a)
Computed, not measured: a geometry-optimized Li2BeAs structure at the PBE level of DFT.

M_tot   0.0 Bohr magnetons per cell
Space group   No. 35

POSCAR file:
```
Li2BeAs
1.0
-0.075 3.030 1.123
-2.612 -0.157 -1.896
-3.206 -1.770 4.563
Li Be As
2 1 1
direct
0.000 0.000 0.973
0.500 0.500 0.264
0.500 0.500 0.731
0.000 0.000 0.532
```

(b)
Computed, not measured: a geometry-optimized Li2BeAs structure at the PBE level of DFT.

M_tot   0.0 Bohr magnetons per cell
Space group   No. 225

POSCAR file:
```
Li2BeAs
1.0
1.877 -3.681 -0.898
2.042 -2.127 3.031
-1.607 -3.613 1.497
Li Be As
2 1 1
direct
0.750 0.750 0.750
0.250 0.250 0.250
0.000 0.000 0.000
0.500 0.500 0.500
```

Verdict on stability: (b) comes out on top.

(a)
Computed, not measured: a geometry-optimized Li2BeAs2 structure at the PBE level of DFT.

M_tot   0.0 Bohr magnetons per cell
Space group   No. 123

POSCAR file:
```
Li2BeAs2
1.0
2.856 0.000 0.000
0.000 2.856 0.000
0.000 0.000 11.871
Li Be As
2 1 2
direct
0.500 0.500 0.611
0.500 0.500 0.389
0.500 0.500 0.000
0.500 0.500 0.821
0.500 0.500 0.179
```

(b)
Computed, not measured: a geometry-optimized Li2BeAs2 structure at the PBE level of DFT.

M_tot   0.0 Bohr magnetons per cell
Space group   No. 127

POSCAR file:
```
Li2BeAs2
1.0
-0.049 -3.953 -4.717
-0.729 -4.680 3.930
-4.229 0.408 -0.298
Be As Li
2 4 4
direct
0.000 0.000 0.000
0.500 0.500 0.000
0.856 0.644 0.000
0.144 0.356 0.000
0.356 0.856 0.000
0.644 0.144 0.000
0.669 0.831 0.500
0.831 0.331 0.500
0.331 0.169 0.500
0.169 0.669 0.500
```

Verdict on stability: (b) comes out on top.

(a)
Computed, not measured: a geometry-optimized MgBe3As structure at the PBE level of DFT.

M_tot   0.0 Bohr magnetons per cell
Space group   No. 221

POSCAR file:
```
MgBe3As
1.0
4.444 0.000 0.000
0.000 4.444 0.000
0.000 0.000 4.444
As Be Mg
1 3 1
direct
0.500 0.500 0.500
0.000 0.000 0.500
0.000 0.500 0.000
0.500 0.000 0.000
0.000 0.000 0.000
```

(b)
Computed, not measured: a geometry-optimized MgBe3As structure at the PBE level of DFT.

M_tot   0.0 Bohr magnetons per cell
Space group   No. 221

POSCAR file:
```
MgBe3As
1.0
4.361 0.000 0.000
0.000 4.361 0.000
0.000 0.000 4.361
As Be Mg
1 3 1
direct
0.000 0.000 0.000
0.500 0.000 0.000
0.000 0.500 0.000
0.000 0.000 0.500
0.500 0.500 0.500
```

Verdict on stability: (b) comes out on top.